# 1
VASP calculation (PBE-GGA) on a relaxed structure of ReSi2Br.

Crystal system: monoclinic
ΔE to the lowest computed polymorph, eV per atom: 0.097
Space group: C2/m, No. 12

Cell: 4.2989 4.2989 8.2023 Å, 118.12 118.12 40.47°
Fractional coordinates of all 4 atoms:
Br: 0.7500 0.7500 0.7500
Re: 0.2500 0.2500 0.2500
Si: 0.8894 0.8894 0.1123
Si: 0.6106 0.6106 0.3877

# 2
VASP calculation (PBE-GGA) on a relaxed structure of ReSi2Br.

Crystal system: orthorhombic
ΔE to the lowest computed polymorph, eV per atom: 0.855
Space group: Pmmm, No. 47

Cell: 2.8753 4.7425 4.7232 Å, 90.00 90.00 90.00°
Fractional coordinates of all 4 atoms:
Re: 0.0000 0.5000 0.5000
Br: 0.5000 0.0000 0.5000
Si: 0.0000 0.0000 0.0000
Si: 0.5000 0.5000 0.0000

# 3
VASP calculation (PBE-GGA) on a relaxed structure of ReSi2Br.

Crystal system: tetragonal
ΔE to the lowest computed polymorph, eV per atom: 0.174
Space group: P4/mmm, No. 123

Cell: 3.0827 3.0827 7.2658 Å, 90.00 90.00 90.00°
Fractional coordinates of all 4 atoms:
Br: 0.5000 0.5000 0.2500
Si: 0.0000 0.0000 0.5623
Si: 0.0000 0.0000 0.9377
Re: 0.5000 0.5000 0.7500

# 4
VASP calculation (PBE-GGA) on a relaxed structure of SrReSiBr2.

Crystal system: tetragonal
Space group: P4/mmm, No. 123

Cell: 5.2385 6.1757 5.2385 Å, 90.00 90.00 90.00°
Fractional coordinates of all 5 atoms:
Sr: 0.0000 0.5000 0.0000
Br: 0.0000 0.0000 0.5000
Re: 0.5000 0.5000 0.5000
Br: 0.5000 0.0000 0.0000
Si: 0.0000 0.0000 0.0000

# 5
VASP calculation (PBE-GGA) on a relaxed structure of ZnRe2SiBr.

Crystal system: tetragonal
Space group: P4/mmm, No. 123

Cell: 4.7734 4.2338 4.7734 Å, 90.00 90.00 90.00°
Fractional coordinates of all 5 atoms:
Br: 0.5000 0.5000 0.5000
Re: 0.0000 0.0000 0.5000
Si: 0.0000 0.5000 0.0000
Re: 0.5000 0.0000 0.0000
Zn: 0.0000 0.0000 0.0000

# 6
VASP calculation (PBE-GGA) on a relaxed structure of SmReBr.

Crystal system: triclinic
ΔE to the lowest computed polymorph, eV per atom: 0.027
Space group: P1, No. 1

Cell: 4.1700 4.1704 11.9432 Å, 99.68 99.61 59.99°
Fractional coordinates of all 6 atoms:
Br: 0.6341 0.1010 0.3654
Re: 0.7418 0.2106 0.7057
Sm: 0.4722 0.9426 0.9075
Br: 0.8555 0.3272 0.0656
Sm: 0.3519 0.8196 0.5268
Re: 0.0824 0.5515 0.7288

# 7
VASP calculation (PBE-GGA) on a relaxed structure of SmReBr.

Crystal system: trigonal
ΔE to the lowest computed polymorph, eV per atom: 0.000
Space group: R-3m, No. 166

Cell: 4.1543 4.1543 11.9211 Å, 79.97 79.97 60.00°
Fractional coordinates of all 6 atoms:
Re: 0.8394 0.8394 0.4819
Br: 0.2832 0.2832 0.1503
Sm: 0.4368 0.4368 0.6895
Sm: 0.5632 0.5632 0.3105
Br: 0.7168 0.7168 0.8497
Re: 0.1606 0.1606 0.5181

# 8
VASP calculation (PBE-GGA) on a relaxed structure of Sm4ReBr5.

Crystal system: monoclinic
Space group: C2/m, No. 12

Cell: 3.9286 9.3834 9.5593 Å, 104.86 101.86 90.00°
Fractional coordinates of all 10 atoms:
Sm: 0.9976 0.7634 0.9953
Br: 0.8301 0.1496 0.6602
Sm: 0.0024 0.2366 0.0047
Br: 0.5000 0.5000 0.0000
Br: 0.1687 0.3236 0.3374
Sm: 0.6444 0.0768 0.2887
Re: 0.5000 0.0000 0.0000
Br: 0.8313 0.6764 0.6626
Sm: 0.3556 0.9232 0.7113
Br: 0.1699 0.8504 0.3398

Number 1: formation energy (no corrections) 0.258 eV/atom, calculated volume 85 Å³/f.u.. Number 2: formation energy (no corrections) 1.016 eV/atom, calculated volume 64 Å³/f.u.. Number 3: formation energy (no corrections) 0.334 eV/atom, calculated volume 69 Å³/f.u.. Number 4: formation energy (no corrections) 0.983 eV/atom, calculated volume 169 Å³/f.u.. Number 5: formation energy (no corrections) 2.078 eV/atom, calculated volume 96 Å³/f.u.. Number 6: formation energy (no corrections) -0.838 eV/atom, calculated volume 88 Å³/f.u.. Number 7: formation energy (no corrections) -0.865 eV/atom, calculated volume 87 Å³/f.u.. Number 8: formation energy (no corrections) -1.229 eV/atom, calculated volume 333 Å³/f.u..